The following is a PBE calculation of a relaxed structure of KMn2TlBr6, from the Alexandria database. Values from VASP.

Calculated total energy in eV/atom: -4.17
SG: No. 15

Geometry as Quantum ESPRESSO input:
```
&SYSTEM
  ibrav = 0, nat = 20, ntyp = 4
/
ATOMIC_SPECIES
K 39.10 K.upf
Mn 54.94 Mn.upf
Tl 204.38 Tl.upf
Br 79.90 Br.upf
CELL_PARAMETERS angstrom
7.342 -7.005 0.000
7.342 7.005 0.000
-1.519 0.000 7.467
ATOMIC_POSITIONS crystal
K 0.200 0.800 0.750
K 0.800 0.200 0.250
Mn 0.121 0.294 0.776
Mn 0.294 0.121 0.276
Mn 0.706 0.879 0.724
Mn 0.879 0.706 0.224
Tl 0.401 0.599 0.250
Tl 0.599 0.401 0.750
Br 0.093 0.196 0.062
Br 0.099 0.629 0.358
Br 0.196 0.093 0.562
Br 0.282 0.475 0.832
Br 0.371 0.901 0.142
Br 0.475 0.282 0.332
Br 0.525 0.718 0.668
Br 0.629 0.099 0.858
Br 0.718 0.525 0.168
Br 0.804 0.907 0.438
Br 0.901 0.371 0.642
Br 0.907 0.804 0.938
```

The following is a PBE calculation of a relaxed structure of KMnVBr6, from the Alexandria database. Values from VASP.

Calculated total energy in eV/atom: -4.30
SG: No. 163

Geometry as Quantum ESPRESSO input:
```
&SYSTEM
  ibrav = 0, nat = 18, ntyp = 4
/
ATOMIC_SPECIES
K 39.10 K.upf
Mn 54.94 Mn.upf
V 50.94 V.upf
Br 79.90 Br.upf
CELL_PARAMETERS angstrom
6.823 0.000 0.000
-3.412 5.909 0.000
0.000 0.000 14.725
ATOMIC_POSITIONS crystal
K 0.000 0.000 0.000
K 0.000 0.000 0.500
Mn 0.333 0.667 0.250
Mn 0.667 0.333 0.750
V 0.333 0.667 0.750
V 0.667 0.333 0.250
Br 0.012 0.376 0.649
Br 0.012 0.636 0.851
Br 0.364 0.376 0.851
Br 0.364 0.988 0.649
Br 0.376 0.012 0.149
Br 0.376 0.364 0.351
Br 0.624 0.636 0.649
Br 0.624 0.988 0.851
Br 0.636 0.012 0.351
Br 0.636 0.624 0.149
Br 0.988 0.364 0.149
Br 0.988 0.624 0.351
```

The following is a PBE calculation of a relaxed structure of K2MnVBr6, from the Alexandria database. Values from VASP.

Calculated total energy in eV/atom: -4.19
SG: No. 14

Geometry as Quantum ESPRESSO input:
```
&SYSTEM
  ibrav = 0, nat = 20, ntyp = 4
/
ATOMIC_SPECIES
K 39.10 K.upf
Mn 54.94 Mn.upf
V 50.94 V.upf
Br 79.90 Br.upf
CELL_PARAMETERS angstrom
7.348 0.000 0.000
0.000 7.504 0.000
-7.337 0.000 10.525
ATOMIC_POSITIONS crystal
K 0.232 0.060 0.250
K 0.232 0.440 0.750
K 0.768 0.560 0.250
K 0.768 0.940 0.750
Mn 0.500 0.000 0.000
Mn 0.500 0.500 0.500
V 0.000 0.000 0.500
V 0.000 0.500 0.000
Br 0.167 0.206 0.964
Br 0.167 0.294 0.464
Br 0.259 0.704 0.964
Br 0.259 0.796 0.464
Br 0.321 0.005 0.749
Br 0.321 0.495 0.249
Br 0.679 0.505 0.751
Br 0.679 0.995 0.251
Br 0.741 0.204 0.536
Br 0.741 0.296 0.036
Br 0.833 0.706 0.536
Br 0.833 0.794 0.036
```